Material: Pr4B2Br5
Method: DFT, PBE
State: relaxed

abc: 4.084 8.322 19.445
angles: 90.00 90.00 90.00
Space group Immm (No. 71)
Symmetry-distinct sites (fractional):
Pr1 0.000 0.000 0.165 x4
Pr2 0.000 0.292 0.500 x4
B1 0.000 0.000 0.041 x4
Br1 0.000 0.235 0.335 x8
Br2 0.000 0.500 0.000 x2

Properties
The calculation puts the formation energy (no corrections) at -1332.6 kJ/mol of formula units. For the total magnetic moment, the calculation gives 0.00 μB per cell.